<P>
Computed, not measured: a relaxed structure of TlTcB3 at the PBE level of DFT.

```
5
Lattice="4.247 0.000 0.000 0.000 4.247 0.000 0.000 0.000 4.247" Properties=species:S:1:pos:R:3 pbc="T T T"
Tc 0.000 0.000 0.000
B 2.123 0.000 0.000
B 0.000 0.000 2.123
B 0.000 2.123 0.000
Tl 2.123 2.123 2.123
```

Calculated values
N(E_F) in states/eV per atom: 0.41

<Q>
Computed, not measured: a relaxed structure of TlTcB3 at the PBE level of DFT.

```
5
Lattice="4.305 0.000 0.000 0.000 4.305 0.000 0.000 0.000 4.305" Properties=species:S:1:pos:R:3 pbc="T T T"
Tl 0.000 0.000 0.000
B 0.000 0.000 2.153
B 2.153 0.000 0.000
B 0.000 2.153 0.000
Tc 2.153 2.153 2.153
```

Calculated values
N(E_F) in states/eV per atom: 1.58

It is <P> that is the most stable of them.

<P>
Computed, not measured: a relaxed structure of TlTc2B2 at the PBE level of DFT.

```
5
Lattice="3.841 0.000 0.000 0.000 3.841 0.000 1.921 1.921 4.451" Properties=species:S:1:pos:R:3 pbc="T T T"
Tl 0.000 0.000 0.000
B 1.921 1.921 0.925
B 3.841 3.841 3.526
Tc 1.921 3.841 2.226
Tc 3.841 1.921 2.226
```

Calculated values
N(E_F) in states/eV per atom: 0.72

<Q>
Computed, not measured: a relaxed structure of TlTc2B2 at the PBE level of DFT.

```
10
Lattice="-5.057 1.300 -3.643 2.236 -3.911 -4.499 -1.522 -2.340 1.278" Properties=species:S:1:pos:R:3 pbc="T T T"
Tc -0.085 -3.535 -2.888
Tc -4.257 -1.416 -3.976
Tc -2.145 -1.338 -1.317
Tc -2.197 -3.613 -5.547
Tl -1.410 -1.305 -4.071
Tl 0.000 0.000 0.000
B 0.367 -1.419 -2.161
B -2.819 0.381 -2.660
B -3.188 -1.192 -5.981
B -0.002 -2.992 -5.482
```

Calculated values
N(E_F) in states/eV per atom: 0.56

It is <P> that is the most stable of them.

<P>
Computed, not measured: a relaxed structure of TmTcB2 at the PBE level of DFT.

```
16
Lattice="5.252 0.000 0.000 0.000 5.909 0.000 0.000 0.000 6.399" Properties=species:S:1:pos:R:3 pbc="T T T"
Tm 3.939 2.863 1.037
Tm 3.939 5.818 2.162
Tm 1.313 0.091 4.236
Tm 1.313 3.046 5.361
B 2.218 5.133 0.220
B 4.844 0.776 6.178
B 2.218 2.178 2.979
B 4.844 3.730 3.420
B 3.034 3.730 3.420
B 3.034 0.776 6.178
B 0.408 5.133 0.220
B 0.408 2.178 2.979
Tc 3.939 1.878 4.387
Tc 3.939 4.833 5.211
Tc 1.313 1.076 1.187
Tc 1.313 4.030 2.012
```

Calculated values
N(E_F) in states/eV per atom: 0.18

<Q>
Computed, not measured: a relaxed structure of TmTcB2 at the PBE level of DFT.

```
16
Lattice="-0.673 -0.897 3.145 3.511 -4.805 -0.619 8.013 5.436 3.264" Properties=species:S:1:pos:R:3 pbc="T T T"
B 8.308 -1.652 3.964
B 8.707 0.025 4.528
B 7.745 1.560 4.760
B 5.972 1.763 4.438
B 3.106 -1.825 1.030
B 4.880 -2.029 1.351
B 2.145 -0.291 1.262
B 2.543 1.386 1.825
Tc 6.057 -2.475 3.248
Tc 1.296 -2.111 2.333
Tc 4.795 2.210 2.542
Tc 9.555 1.846 3.456
Tm 3.750 -0.572 3.297
Tm 3.725 -4.182 2.262
Tm 7.127 3.916 3.527
Tm 7.102 0.306 2.492
```

Calculated values
N(E_F) in states/eV per atom: 0.34

It is <P> that is the most stable of them.